[1]
This record from Alexandria via LeMat-Bulk describes crystalline Al2S6Cl at its relaxed geometry. The functional is PBE.

Properties
- Raw total energy: -4.34 eV per atom
- Energy relative to the elements, uncorrected: -4.98 eV per formula unit
- Space-group type: C2/c
- Total magnetization: 0.0000 μB/atom
- Density of states at the Fermi level: 6.099 states/eV/cell

```
data_Al2S6Cl
_chemical_formula_sum 'Al4 S12 Cl2'
_cell_length_a 6.2729
_cell_length_b 6.2729
_cell_length_c 16.1285
_cell_angle_alpha 99.53
_cell_angle_beta 99.53
_cell_angle_gamma 57.81
_symmetry_space_group_name_H-M 'P 1'
_symmetry_Int_Tables_number 1
_symmetry_space_group_name_Hall 'P 1'
loop_
_atom_site_label
_atom_site_type_symbol
_atom_site_fract_x
_atom_site_fract_y
_atom_site_fract_z
Al1 Al 0.0176 0.3086 0.2125
Al2 Al 0.3086 0.0176 0.7125
Al3 Al 0.6914 0.9824 0.2875
Al4 Al 0.9824 0.6914 0.7875
S1 S 0.0582 0.7026 0.9336
S2 S 0.2733 0.3864 0.7100
S3 S 0.2974 0.9418 0.5664
S4 S 0.3301 0.6035 0.5289
S5 S 0.3864 0.2733 0.2100
S6 S 0.3965 0.6699 0.9711
S7 S 0.6035 0.3301 0.0289
S8 S 0.6136 0.7267 0.7900
S9 S 0.6699 0.3965 0.4711
S10 S 0.7026 0.0582 0.4336
S11 S 0.7267 0.6136 0.2900
S12 S 0.9418 0.2974 0.0664
Cl1 Cl 0.0486 0.9514 0.2500
Cl2 Cl 0.9514 0.0486 0.7500
```

---

[2]
This record from Alexandria via LeMat-Bulk describes crystalline AlSCl2 at its relaxed geometry. The functional is PBE.

Properties
- Raw total energy: -3.44 eV per atom
- ΔE to the lowest computed polymorph: 0 meV/atom
- Energy relative to the elements, uncorrected: -2.20 eV per formula unit
- Space-group type: I-42d
- Total magnetization: 0.2500 μB/atom
- Density of states at the Fermi level: 1.507 states/eV/cell

```
data_AlSCl2
_chemical_formula_sum 'Al4 S4 Cl8'
_cell_length_a 8.9850
_cell_length_b 8.9850
_cell_length_c 4.5884
_cell_angle_alpha 90.00
_cell_angle_beta 90.00
_cell_angle_gamma 90.00
_symmetry_space_group_name_H-M 'P 1'
_symmetry_Int_Tables_number 1
_symmetry_space_group_name_Hall 'P 1'
loop_
_atom_site_label
_atom_site_type_symbol
_atom_site_fract_x
_atom_site_fract_y
_atom_site_fract_z
Al1 Al 0.0000 0.0000 0.0000
Al2 Al 0.0000 0.5000 0.2500
Al3 Al 0.5000 0.0000 0.7500
Al4 Al 0.5000 0.5000 0.5000
S1 S 0.0000 0.0000 0.5000
S2 S 0.0000 0.5000 0.7500
S3 S 0.5000 0.0000 0.2500
S4 S 0.5000 0.5000 0.0000
Cl1 Cl 0.0929 0.2500 0.1250
Cl2 Cl 0.2500 0.5929 0.3750
Cl3 Cl 0.2500 0.9071 0.8750
Cl4 Cl 0.4071 0.2500 0.6250
Cl5 Cl 0.5929 0.7500 0.6250
Cl6 Cl 0.7500 0.0929 0.8750
Cl7 Cl 0.7500 0.4071 0.3750
Cl8 Cl 0.9071 0.7500 0.1250
```

---

[3]
This record from Alexandria via LeMat-Bulk describes crystalline Al2SCl at its relaxed geometry. The functional is PBE.

Properties
- Raw total energy: -3.59 eV per atom
- ΔE to the lowest computed polymorph: 0 meV/atom
- Energy relative to the elements, uncorrected: -0.91 eV per formula unit
- Space-group type: I-42d
- Total magnetization: 0.0000 μB/atom
- Density of states at the Fermi level: 6.242 states/eV/cell

```
data_Al2SCl
_chemical_formula_sum 'Al8 S4 Cl4'
_cell_length_a 7.0502
_cell_length_b 7.0502
_cell_length_c 6.6008
_cell_angle_alpha 90.00
_cell_angle_beta 90.00
_cell_angle_gamma 90.00
_symmetry_space_group_name_H-M 'P 1'
_symmetry_Int_Tables_number 1
_symmetry_space_group_name_Hall 'P 1'
loop_
_atom_site_label
_atom_site_type_symbol
_atom_site_fract_x
_atom_site_fract_y
_atom_site_fract_z
Al1 Al 0.2196 0.7500 0.1250
Al2 Al 0.2500 0.2196 0.8750
Al3 Al 0.2500 0.2804 0.3750
Al4 Al 0.2804 0.7500 0.6250
Al5 Al 0.7196 0.2500 0.6250
Al6 Al 0.7500 0.7196 0.3750
Al7 Al 0.7500 0.7804 0.8750
Al8 Al 0.7804 0.2500 0.1250
S1 S 0.0000 0.0000 0.0000
S2 S 0.0000 0.5000 0.2500
S3 S 0.5000 0.0000 0.7500
S4 S 0.5000 0.5000 0.5000
Cl1 Cl 0.0000 0.0000 0.5000
Cl2 Cl 0.0000 0.5000 0.7500
Cl3 Cl 0.5000 0.0000 0.2500
Cl4 Cl 0.5000 0.5000 0.0000
```

---

[4]
This record from Alexandria via LeMat-Bulk describes crystalline AlSCl2 at its relaxed geometry. The functional is PBE.

Properties
- Raw total energy: -2.92 eV per atom
- ΔE to the lowest computed polymorph: 522 meV/atom
- Energy relative to the elements, uncorrected: -0.11 eV per formula unit
- Space-group type: R-3m
- Total magnetization: 0.0000 μB/atom
- Density of states at the Fermi level: 10.010 states/eV/cell

```
data_AlSCl2
_chemical_formula_sum 'Al3 S3 Cl6'
_cell_length_a 3.3415
_cell_length_b 3.3415
_cell_length_c 28.3797
_cell_angle_alpha 90.00
_cell_angle_beta 90.00
_cell_angle_gamma 120.00
_symmetry_space_group_name_H-M 'P 1'
_symmetry_Int_Tables_number 1
_symmetry_space_group_name_Hall 'P 1'
loop_
_atom_site_label
_atom_site_type_symbol
_atom_site_fract_x
_atom_site_fract_y
_atom_site_fract_z
Al1 Al 0.0000 0.0000 0.0000
Al2 Al 0.3333 0.6667 0.6667
Al3 Al 0.6667 0.3333 0.3333
S1 S 0.0000 0.0000 0.5000
S2 S 0.3333 0.6667 0.1667
S3 S 0.6667 0.3333 0.8333
Cl1 Cl 0.0000 0.0000 0.3862
Cl2 Cl 0.0000 0.0000 0.6138
Cl3 Cl 0.3333 0.6667 0.0529
Cl4 Cl 0.3333 0.6667 0.2804
Cl5 Cl 0.6667 0.3333 0.7196
Cl6 Cl 0.6667 0.3333 0.9471
```

---

[5]
This record from Alexandria via LeMat-Bulk describes crystalline Al3SCl7 at its relaxed geometry. The functional is PBE.

Properties
- Raw total energy: -3.98 eV per atom
- Energy relative to the elements, uncorrected: -15.46 eV per formula unit
- Space-group type: P3m1
- Total magnetization: 0.0000 μB/atom
- Density of states at the Fermi level: 0.000 states/eV/cell

```
data_Al3SCl7
_chemical_formula_sum 'Al3 S1 Cl7'
_cell_length_a 6.9057
_cell_length_b 6.9057
_cell_length_c 6.6550
_cell_angle_alpha 90.00
_cell_angle_beta 90.00
_cell_angle_gamma 120.00
_symmetry_space_group_name_H-M 'P 1'
_symmetry_Int_Tables_number 1
_symmetry_space_group_name_Hall 'P 1'
loop_
_atom_site_label
_atom_site_type_symbol
_atom_site_fract_x
_atom_site_fract_y
_atom_site_fract_z
Al1 Al 0.0179 0.5090 0.0000
Al2 Al 0.4910 0.5090 0.0000
Al3 Al 0.4910 0.9821 0.0000
S1 S 0.3333 0.6667 0.2039
Cl1 Cl 0.1741 0.3482 0.7889
Cl2 Cl 0.1741 0.8259 0.7889
Cl3 Cl 0.3489 0.1744 0.1814
Cl4 Cl 0.6518 0.8259 0.7889
Cl5 Cl 0.6667 0.3333 0.7864
Cl6 Cl 0.8256 0.1744 0.1814
Cl7 Cl 0.8256 0.6511 0.1814
```

---

[6]
This record from Alexandria via LeMat-Bulk describes crystalline AlS2Cl6 at its relaxed geometry. The functional is PBE.

Properties
- Raw total energy: -3.22 eV per atom
- Energy relative to the elements, uncorrected: -5.92 eV per formula unit
- Space-group type: P-1
- Total magnetization: 0.0000 μB/atom
- Density of states at the Fermi level: 2.122 states/eV/cell

```
data_AlS2Cl6
_chemical_formula_sum 'Al1 S2 Cl6'
_cell_length_a 3.5448
_cell_length_b 8.3308
_cell_length_c 8.4909
_cell_angle_alpha 105.61
_cell_angle_beta 90.41
_cell_angle_gamma 90.65
_symmetry_space_group_name_H-M 'P 1'
_symmetry_Int_Tables_number 1
_symmetry_space_group_name_Hall 'P 1'
loop_
_atom_site_label
_atom_site_type_symbol
_atom_site_fract_x
_atom_site_fract_y
_atom_site_fract_z
Al1 Al 0.0000 0.0000 0.0000
S1 S 0.4948 0.4441 0.3749
S2 S 0.5052 0.5559 0.6251
Cl1 Cl 0.0079 0.2790 0.0597
Cl2 Cl 0.4972 0.9921 0.8025
Cl3 Cl 0.4982 0.6547 0.3052
Cl4 Cl 0.5018 0.3453 0.6948
Cl5 Cl 0.5028 0.0079 0.1975
Cl6 Cl 0.9921 0.7210 0.9403
```